[1]
Below is a relaxed CaZn2Cu4Ge crystal, with properties calculated at the PBE level.

The structure belongs to space group R-3m (No. 166, hexagonal axes); the cell edges are 4.2029, 4.2029 and 25.9802 Å and the angles 90.00°, 90.00° and 120.00°. The distinct sites, in fractional coordinates, are Ca at (0.0000, 0.0000, 0.0000), Zn at (0.0000, 0.0000, 0.2485), Cu at (0.0000, 0.0000, 0.1240), Cu at (0.0000, 0.0000, 0.4079) and Ge at (0.0000, 0.0000, 0.5000).

The value obtained for the formation enthalpy at 0 K is -4.57 kJ/mol of atoms. The calculated volume comes out at 397.4 Å³ per cell. The value obtained for the size of the total moment is 0.00 μB per formula unit.

=====

[2]
Below is a relaxed Ca2ZnCu4Ge3 crystal, with properties calculated at the PBE level.

The structure belongs to space group P-4m2 (No. 115); the cell edges are 4.189, 4.189 and 10.042 Å and the angles 90.00°, 90.00° and 90.00°. The distinct sites, in fractional coordinates, are Ca at (0.000, 0.500, 0.244), Zn at (0.000, 0.000, 0.500), Cu at (0.000, 0.000, 0.000), Cu at (0.000, 0.500, 0.632), Cu at (0.500, 0.500, 0.000), Ge at (0.000, 0.500, 0.870) and Ge at (0.500, 0.500, 0.500).

The value obtained for the formation enthalpy at 0 K is -32.00 kJ/mol of atoms. The calculated volume comes out at 176.2 Å³ per cell. The value obtained for the size of the total moment is 0.00 μB per formula unit.

=====

[3]
Below is a relaxed Ca5Cu2H12 crystal, with properties calculated at the PBE level.

The structure belongs to space group C2/m (No. 12); the cell edges are 11.238, 6.138 and 7.287 Å and the angles 90.00°, 110.13° and 90.00°. The distinct sites, in fractional coordinates, are Ca at (0.000, 0.000, 0.000), Ca at (0.158, 0.500, 0.844), Ca at (0.220, 0.500, 0.350), Cu at (0.000, 0.195, 0.500), H at (0.029, 0.500, 0.184), H at (0.041, 0.000, 0.688), H at (0.142, 0.298, 0.553) and H at (0.173, 0.235, 0.096).

The total energy is -3.44 eV/atom. The calculated volume comes out at 472.0 Å³ per cell. The value obtained for the size of the total moment is 0.00 μB per formula unit.

=====

[4]
Below is a relaxed Ca3Cu2H9 crystal, with properties calculated at the PBE level.

The structure belongs to space group R-3c (No. 167, hexagonal axes); the cell edges are 8.6467, 8.6467 and 12.4757 Å and the angles 90.00°, 90.00° and 120.00°. The distinct sites, in fractional coordinates, are Ca at (0.0000, 0.3318, 0.2500), Cu at (0.0000, 0.0000, 0.1503), H at (0.0000, 0.1617, 0.7500) and H at (0.0027, 0.1764, 0.4108).

The total energy is -3.48 eV/atom. The calculated volume comes out at 807.8 Å³ per cell. The value obtained for the size of the total moment is 0.00 μB per formula unit.

=====

[5]
Below is a relaxed CaCu3H crystal, with properties calculated at the PBE level.

The structure belongs to space group Pm-3m (No. 221); the cell edges are 4.101, 4.101 and 4.101 Å and the angles 90.00°, 90.00° and 90.00°. The distinct sites, in fractional coordinates, are Ca at (0.000, 0.000, 0.000), Cu at (0.000, 0.500, 0.500) and H at (0.500, 0.500, 0.500).

Its energy above the lowest structure with this stoichiometry is 0 meV per atom. The calculated volume comes out at 69.0 Å³ per cell. The value obtained for the size of the total moment is 0.00 μB per formula unit.

=====

[6]
Below is a relaxed Ca3Cu5H12 crystal, with properties calculated at the PBE level.

The structure belongs to space group Ia-3d (No. 230); the cell edges are 11.635, 11.635 and 11.635 Å and the angles 90.00°, 90.00° and 90.00°. The distinct sites, in fractional coordinates, are Ca at (0.000, 0.250, 0.125), Cu at (0.000, 0.000, 0.000), Cu at (0.000, 0.250, 0.375) and H at (0.033, 0.047, 0.647).

The total energy is -3.48 eV/atom. The calculated volume comes out at 1574.9 Å³ per cell. The value obtained for the size of the total moment is 0.00 μB per formula unit.

=====

[7]
Below is a relaxed Ca5Cu3H12 crystal, with properties calculated at the PBE level.

The structure belongs to space group Ia-3d (No. 230); the cell edges are 12.498, 12.498 and 12.498 Å and the angles 90.00°, 90.00° and 90.00°. The distinct sites, in fractional coordinates, are Ca at (0.000, 0.000, 0.000), Ca at (0.000, 0.250, 0.375), Cu at (0.000, 0.250, 0.125) and H at (0.028, 0.056, 0.333).

The total energy is -3.39 eV/atom. The calculated volume comes out at 1952.4 Å³ per cell. The value obtained for the size of the total moment is 0.00 μB per formula unit.

=====

[8]
Below is a relaxed Ca4Cu2H crystal, with properties calculated at the PBE level.

The structure belongs to space group I4/mmm (No. 139); the cell edges are 4.661, 4.661 and 15.691 Å and the angles 90.00°, 90.00° and 90.00°. The distinct sites, in fractional coordinates, are Ca at (0.000, 0.000, 0.184), Ca at (0.000, 0.500, 0.000), Cu at (0.000, 0.000, 0.374) and H at (0.000, 0.000, 0.000).

The total energy is -2.90 eV/atom. The calculated volume comes out at 340.9 Å³ per cell. The value obtained for the size of the total moment is 0.00 μB per formula unit.